Computed, not measured: a relaxed PmPr7Y3 crystal at the PBE-GGA level of DFT.

- Excess energy over the best structure of this formula in the dataset: 10 meV/atom
- Uncorrected energy: -0.369 Ry per atom
- E_form: 0.22 eV per atom
- Spin magnetization: 0.000 μB/f.u.

Cell: 11.920 10.329 6.514 Å, 90.00 95.87 90.00°
Space group C2/m (No. 12)
Symmetry-distinct sites (fractional):
Pm (0.000, 0.000, 0.000)
Pr (0.000, 0.000, 0.500)
Pr (0.237, 0.500, 0.714)
Pr (0.249, 0.325, 0.240)
Y (0.000, 0.331, 0.500)
Y (0.000, 0.500, 0.000)


Computed, not measured: a relaxed Pm5Pr4Y crystal at the PBE-GGA level of DFT.

- Excess energy over the best structure of this formula in the dataset: 0 meV/atom
- Uncorrected energy: -0.362 Ry per atom
- E_form: 0.01 eV per atom
- Spin magnetization: 0.000 μB/f.u.

Cell: 26.231 3.675 7.329 Å, 90.00 98.25 90.00°
Space group C2/m (No. 12)
Symmetry-distinct sites (fractional):
Pm (0.000, 0.000, 0.000)
Pm (0.099, 0.500, 0.299)
Pm (0.200, 0.000, 0.100)
Pr (0.099, 0.500, 0.800)
Pr (0.199, 0.000, 0.599)
Y (0.000, 0.000, 0.500)


uncorrected energy of number 1 (PmPr7Y3)? -0.369 Ry per atom


What did the second record say?
Computed, not measured: a relaxed Pm5Pr4Y crystal at the PBE-GGA level of DFT.

- Excess energy over the best structure of this formula in the dataset: 0 meV/atom
- Uncorrected energy: -0.362 Ry per atom
- E_form: 0.01 eV per atom
- Spin magnetization: 0.000 μB/f.u.

Cell: 26.231 3.675 7.329 Å, 90.00 98.25 90.00°
Space group C2/m (No. 12)
Symmetry-distinct sites (fractional):
Pm (0.000, 0.000, 0.000)
Pm (0.099, 0.500, 0.299)
Pm (0.200, 0.000, 0.100)
Pr (0.099, 0.500, 0.800)
Pr (0.199, 0.000, 0.599)
Y (0.000, 0.000, 0.500)


The lowest excess energy over the best structure of this formula in the dataset belongs to which entry? Pm5Pr4Y